[1]
VASP calculation (PBE-GGA) on crystalline P2RhPb at its relaxed geometry.

Unit cell a=4.0232 b=3.3863 c=6.1036 alpha=90.00 beta=101.95 gamma=90.00
With the nearest neighbours (Å) after each atom.
Space group Pm (No. 6)
Symmetry-distinct sites (fractional):
P (0.0000, 0.0000, 0.0000) [1 per cell]  2 P 2.23, 2 Rh 2.42
P (0.3703, 0.5000, 0.0442) [1 per cell]  2 P 2.23, 2 Rh 2.31-2.50
Rh (0.9119, 0.5000, 0.2655) [1 per cell]  4 P 2.31-2.50
Pb (0.5237, 0.0000, 0.5344) [1 per cell]  4 Rh 3.01-3.15, 1 P 3.08

Properties
Formation energy from the elements, eV per atom: -0.11
Calculated total energy, eV/atom: -5.58

---

[2]
VASP calculation (PBE-GGA) on crystalline ScTeO3 at its relaxed geometry.

Unit cell a=4.0385 b=4.0385 c=4.0385 alpha=90.00 beta=90.00 gamma=90.00
With the nearest neighbours (Å) after each atom.
Space group Pm-3m (No. 221)
Symmetry-distinct sites (fractional):
Sc (0.0000, 0.0000, 0.0000) [1 per cell]  6 O 2.02
Te (0.5000, 0.5000, 0.5000) [1 per cell]  12 O 2.86
O (0.0000, 0.0000, 0.5000) [3 per cell]  2 Sc 2.02

Properties
ΔE_f (raw), meV per atom: -1488
Calculated total energy, eV/atom: -6.36

---

[3]
VASP calculation (PBE-GGA) on crystalline Ce5HoZn6 at its relaxed geometry.

Unit cell a=4.4862 b=13.6336 c=8.6864 alpha=90.00 beta=90.00 gamma=90.00
With the nearest neighbours (Å) after each atom.
Space group Cmmm (No. 65)
Symmetry-distinct sites (fractional):
Ce (0.0000, 0.0000, 0.0000) [2 per cell]  8 Zn 3.05-3.18, 4 Ce 3.21
Ce (0.0000, 0.3136, 0.5000) [4 per cell]  2 Ce 2.83, 6 Zn 3.04-3.15
Ce (0.0000, 0.3317, 0.0000) [4 per cell]  8 Zn 3.13-3.23, 4 Ce 3.16-3.21
Ho (0.0000, 0.0000, 0.5000) [2 per cell]  8 Zn 3.05-3.07, 4 Ce 3.39
Zn (0.0000, 0.1569, 0.2502) [8 per cell]  7 Ce 3.04-3.23, 1 Ho 3.05, 4 Zn 3.10-3.39
Zn (0.0000, 0.5000, 0.2593) [4 per cell]  2 Ho 3.07, 4 Zn 3.10, 6 Ce 3.18-3.29

Properties
Formation energy from the elements, eV per atom: -0.21
Calculated total energy, eV/atom: -3.70

---

[4]
VASP calculation (PBE-GGA) on crystalline SmGd2Tc at its relaxed geometry.

Unit cell a=3.4631 b=3.4631 c=9.1079 alpha=90.00 beta=90.00 gamma=90.00
With the nearest neighbours (Å) after each atom.
Space group P4/mmm (No. 123)
Symmetry-distinct sites (fractional):
Sm (0.0000, 0.0000, 0.0000) [1 per cell]  4 Sm 3.46, 8 Gd 3.78
Gd (0.5000, 0.5000, 0.3156) [2 per cell]  4 Tc 2.97
Tc (0.0000, 0.0000, 0.5000) [1 per cell]  8 Gd 2.97

Properties
Formation energy from the elements, eV per atom: 0.05
Calculated total energy, eV/atom: -10.77